# 1
Computed, not measured: a geometry-optimized Cr2GaB structure at the PBE level of DFT.

Calculated values
Its offset from the most stable computed form is 17.9 kJ per mole of atoms. As for the space group: I-42d (122). For the calculated total energy, the calculation gives -26.3 eV per formula unit. As for the formation energy: 654 meV/atom.

Cell: 3.3986 3.3986 8.6704 Å, 78.70 78.70 90.00°
Element x y z (fractional)
Ga (0.7500, 0.2500, 0.5000)
Ga (0.0000, 0.0000, 0.0000)
B (0.2500, 0.7500, 0.5000)
B (0.5000, 0.5000, 0.0000)
Cr (0.5726, 0.1250, 0.2500)
Cr (0.1774, 0.6250, 0.2500)
Cr (0.3750, 0.4274, 0.7500)
Cr (0.8750, 0.8226, 0.7500)



# 2
Computed, not measured: a geometry-optimized CrGaB2 structure at the PBE level of DFT.

Calculated values
Its offset from the most stable computed form is 4.3 kJ per mole of atoms. As for the space group: Fm-3m (225). For the calculated total energy, the calculation gives -22.4 eV per formula unit. As for the formation energy: 906 meV/atom.

Cell: 3.8365 3.8365 3.8365 Å, 60.00 60.00 60.00°
Each line ends with the local moment (μB).
Element x y z (fractional)
Cr (0.0000, 0.0000, 0.0000)  2.10
B (0.7500, 0.7500, 0.7500)  -0.03
B (0.2500, 0.2500, 0.2500)  -0.03
Ga (0.5000, 0.5000, 0.5000)  -0.01



# 3
Computed, not measured: a geometry-optimized HfCrGaB2 structure at the PBE level of DFT.

Calculated values
As for the space group: P4/mmm (123). For the calculated total energy, the calculation gives -33.4 eV per formula unit. As for the formation energy: 520 meV/atom.

Cell: 3.9193 4.3892 3.9193 Å, 90.00 90.00 90.00°
Element x y z (fractional)
Cr (0.0000, 0.0000, 0.0000)
B (0.5000, 0.0000, 0.0000)
B (0.0000, 0.0000, 0.5000)
Ga (0.0000, 0.5000, 0.0000)
Hf (0.5000, 0.5000, 0.5000)



calculated total energy of number 2 (CrGaB2)? -22.4 eV per formula unit



What is the calculated total energy in the second record? -22.4 eV per formula unit